Cu3Mo2: optimized geometry, GGA-PBE.

Properties
* spin magnetization: 0.000 μB per cell
* DFT formation energy: 305 meV/atom
* crystal system: trigonal
* E_tot: -32.43 eV per formula unit
* volume: 69.1 Å³/f.u.
* relative energy among the computed polymorphs: 60 meV/atom

a = 2.6744 Å, b = 2.6744 Å, c = 33.4828 Å
α = 90.00°, β = 90.00°, γ = 120.00°
Space group R-3m (No. 166, hexagonal axes)
Symmetry-distinct sites (fractional):
Cu (0.0000, 0.0000, 0.0000) [3 per cell]
Cu (0.0000, 0.0000, 0.1976) [6 per cell]
Mo (0.0000, 0.0000, 0.4016) [6 per cell]

CuMo2: optimized geometry, GGA-PBE.

Properties
* spin magnetization: 0.000 μB per cell
* DFT formation energy: 267 meV/atom
* crystal system: tetragonal
* E_tot: -24.96 eV per formula unit
* volume: 44.6 Å³/f.u.
* relative energy among the computed polymorphs: 44 meV/atom

a = 3.2659 Å, b = 3.2659 Å, c = 8.3649 Å
α = 90.00°, β = 90.00°, γ = 90.00°
Space group I4/mmm (No. 139)
Symmetry-distinct sites (fractional):
Cu (0.0000, 0.0000, 0.0000) [2 per cell]
Mo (0.0000, 0.0000, 0.3296) [4 per cell]

CuMo: optimized geometry, GGA-PBE.

Properties
* spin magnetization: 0.000 μB per cell
* DFT formation energy: 189 meV/atom
* crystal system: tetragonal
* E_tot: -14.55 eV per formula unit
* volume: 28.1 Å³/f.u.

a = 2.6475 Å, b = 2.6475 Å, c = 8.0035 Å
α = 90.00°, β = 90.00°, γ = 90.00°
Space group P4/nmm (No. 129, origin choice 2)
Symmetry-distinct sites (fractional):
Cu (0.2500, 0.2500, 0.1086) [2 per cell]
Mo (0.2500, 0.2500, 0.6457) [2 per cell]

Cu8Mo: optimized geometry, GGA-PBE.

Properties
* spin magnetization: 0.000 μB per cell
* DFT formation energy: 169 meV/atom
* crystal system: tetragonal
* E_tot: -42.08 eV per formula unit
* volume: 112.6 Å³/f.u.

a = 9.1296 Å, b = 9.1296 Å, c = 2.7026 Å
α = 90.00°, β = 90.00°, γ = 90.00°
Space group I4/mmm (No. 139)
Symmetry-distinct sites (fractional):
Cu (0.0000, 0.3331, 0.0000) [8 per cell]
Cu (0.1719, 0.1719, 0.5000) [8 per cell]
Mo (0.0000, 0.0000, 0.0000) [2 per cell]

CuMo3: optimized geometry, GGA-PBE.

Properties
* spin magnetization: 0.000 μB per cell
* DFT formation energy: 279 meV/atom
* crystal system: monoclinic
* E_tot: -35.47 eV per formula unit
* volume: 60.8 Å³/f.u.

a = 9.2397 Å, b = 2.5926 Å, c = 5.0983 Å
α = 90.00°, β = 95.48°, γ = 90.00°
Space group C2/m (No. 12)
Symmetry-distinct sites (fractional):
Cu (0.0000, 0.0000, 0.0000) [2 per cell]
Mo (0.0000, 0.5000, 0.5000) [2 per cell]
Mo (0.2419, 0.5000, 0.2413) [4 per cell]

CuMo: optimized geometry, GGA-PBE.

Properties
* spin magnetization: 0.000 μB per cell
* DFT formation energy: 463 meV/atom
* crystal system: tetragonal
* E_tot: -14.00 eV per formula unit
* volume: 30.4 Å³/f.u.

a = 7.4502 Å, b = 7.4502 Å, c = 4.3867 Å
α = 90.00°, β = 90.00°, γ = 90.00°
Space group P4/mnc (No. 128)
Symmetry-distinct sites (fractional):
Cu (0.1152, 0.1996, 0.0000) [8 per cell]
Mo (0.0436, 0.6725, 0.5000) [8 per cell]

CuMo: optimized geometry, GGA-PBE.

Properties
* spin magnetization: 0.000 μB per cell
* DFT formation energy: 345 meV/atom
* crystal system: hexagonal
* E_tot: -14.24 eV per formula unit
* volume: 28.5 Å³/f.u.

a = 2.6817 Å, b = 2.6817 Å, c = 4.5789 Å
α = 90.00°, β = 90.00°, γ = 120.00°
Space group P-6m2 (No. 187)
Symmetry-distinct sites (fractional):
Cu (0.0000, 0.0000, 0.0000) [1 per cell]
Mo (0.3333, 0.6667, 0.5000) [1 per cell]

CuMo: optimized geometry, GGA-PBE.

Properties
* spin magnetization: 0.000 μB per cell
* DFT formation energy: 279 meV/atom
* crystal system: trigonal
* E_tot: -14.37 eV per formula unit
* volume: 28.7 Å³/f.u.

a = 2.7023 Å, b = 2.7023 Å, c = 27.2018 Å
α = 90.00°, β = 90.00°, γ = 120.00°
Space group R-3m (No. 166, hexagonal axes)
Symmetry-distinct sites (fractional):
Cu (0.0000, 0.0000, 0.1287) [6 per cell]
Mo (0.0000, 0.0000, 0.3787) [6 per cell]

Cu4Mo5: optimized geometry, GGA-PBE.

Properties
* spin magnetization: 0.000 μB per cell
* DFT formation energy: 187 meV/atom
* crystal system: tetragonal
* E_tot: -68.86 eV per formula unit
* volume: 127.5 Å³/f.u.
* relative energy among the computed polymorphs: 0 meV/atom

a = 8.3699 Å, b = 8.3699 Å, c = 3.6398 Å
α = 90.00°, β = 90.00°, γ = 90.00°
Space group I4/mmm (No. 139)
Symmetry-distinct sites (fractional):
Cu (0.0000, 0.3438, 0.0000) [8 per cell]
Mo (0.0000, 0.0000, 0.0000) [2 per cell]
Mo (0.1701, 0.1701, 0.5000) [8 per cell]

CuMo: optimized geometry, GGA-PBE.

Properties
* spin magnetization: 0.000 μB per cell
* DFT formation energy: 1036 meV/atom
* crystal system: hexagonal
* E_tot: -12.85 eV per formula unit
* volume: 32.9 Å³/f.u.

a = 3.9024 Å, b = 3.9024 Å, c = 4.9901 Å
α = 90.00°, β = 90.00°, γ = 120.00°
Space group P6_3/mmc (No. 194)
Symmetry-distinct sites (fractional):
Cu (0.3333, 0.6667, 0.2500) [2 per cell]
Mo (0.0000, 0.0000, 0.0000) [2 per cell]

CuMo3: optimized geometry, GGA-PBE.

Properties
* spin magnetization: 0.000 μB per cell
* DFT formation energy: 287 meV/atom
* crystal system: orthorhombic
* E_tot: -35.44 eV per formula unit
* volume: 60.6 Å³/f.u.

a = 5.4822 Å, b = 8.3530 Å, c = 2.6455 Å
α = 90.00°, β = 90.00°, γ = 90.00°
Space group Cmmm (No. 65)
Symmetry-distinct sites (fractional):
Cu (0.0000, 0.0000, 0.0000) [2 per cell]
Mo (0.0000, 0.5000, 0.0000) [2 per cell]
Mo (0.2500, 0.2500, 0.5000) [4 per cell]

CuMo: optimized geometry, GGA-PBE.

Properties
* spin magnetization: 0.000 μB per cell
* DFT formation energy: 499 meV/atom
* crystal system: hexagonal
* E_tot: -13.93 eV per formula unit
* volume: 30.3 Å³/f.u.

a = 9.0396 Å, b = 9.0396 Å, c = 2.5708 Å
α = 90.00°, β = 90.00°, γ = 120.00°
Space group P6_3/m (No. 176)
Symmetry-distinct sites (fractional):
Cu (0.0475, 0.2674, 0.2500) [6 per cell]
Mo (0.1452, 0.6295, 0.2500) [6 per cell]

CuMo3: optimized geometry, GGA-PBE.

Properties
* spin magnetization: 0.000 μB per cell
* DFT formation energy: 250 meV/atom
* crystal system: orthorhombic
* E_tot: -35.59 eV per formula unit
* volume: 60.1 Å³/f.u.

a = 4.4460 Å, b = 5.4771 Å, c = 4.9367 Å
α = 90.00°, β = 90.00°, γ = 90.00°
Space group Pmmn (No. 59, origin choice 2)
Symmetry-distinct sites (fractional):
Cu (0.2500, 0.2500, 0.1677) [2 per cell]
Mo (0.2500, 0.0128, 0.6591) [4 per cell]
Mo (0.2500, 0.7500, 0.1485) [2 per cell]

CuMo2: optimized geometry, GGA-PBE.

Properties
* spin magnetization: 0.000 μB per cell
* DFT formation energy: 389 meV/atom
* crystal system: hexagonal
* E_tot: -24.59 eV per formula unit
* volume: 44.4 Å³/f.u.
* relative energy among the computed polymorphs: 166 meV/atom

a = 6.9529 Å, b = 6.9529 Å, c = 3.1784 Å
α = 90.00°, β = 90.00°, γ = 120.00°
Space group P-62m (No. 189)
Symmetry-distinct sites (fractional):
Cu (0.0000, 0.0000, 0.0000) [1 per cell]
Cu (0.3333, 0.6667, 0.5000) [2 per cell]
Mo (0.0000, 0.2749, 0.5000) [3 per cell]
Mo (0.0000, 0.6157, 0.0000) [3 per cell]

CuMo4: optimized geometry, GGA-PBE.

Properties
* spin magnetization: 0.000 μB per cell
* DFT formation energy: 1703 meV/atom
* crystal system: cubic
* E_tot: -38.91 eV per formula unit
* volume: 89.1 Å³/f.u.
* relative energy among the computed polymorphs: 1406 meV/atom

a = 4.4670 Å, b = 4.4670 Å, c = 4.4670 Å
α = 90.00°, β = 90.00°, γ = 90.00°
Space group Pm-3m (No. 221)
Symmetry-distinct sites (fractional):
Cu (0.0000, 0.0000, 0.0000) [1 per cell]
Mo (0.0000, 0.0000, 0.5000) [3 per cell]
Mo (0.5000, 0.5000, 0.5000) [1 per cell]

CuMo: optimized geometry, GGA-PBE.

Properties
* spin magnetization: 0.000 μB per cell
* DFT formation energy: 154 meV/atom
* crystal system: orthorhombic
* E_tot: -14.62 eV per formula unit
* volume: 28.4 Å³/f.u.

a = 3.2237 Å, b = 4.1636 Å, c = 8.4584 Å
α = 90.00°, β = 90.00°, γ = 90.00°
Space group Cmme (No. 67)
Symmetry-distinct sites (fractional):
Cu (0.0000, 0.2500, 0.1135) [4 per cell]
Mo (0.0000, 0.2500, 0.6351) [4 per cell]

CuMo3: optimized geometry, GGA-PBE.

Properties
* spin magnetization: 0.002 μB per cell
* DFT formation energy: 2738 meV/atom
* crystal system: cubic
* E_tot: -25.64 eV per formula unit
* volume: 94.6 Å³/f.u.

a = 4.5557 Å, b = 4.5557 Å, c = 4.5557 Å
α = 90.00°, β = 90.00°, γ = 90.00°
Space group Pm-3m (No. 221)
Symmetry-distinct sites (fractional):
Cu (0.0000, 0.0000, 0.0000) [1 per cell]
Mo (0.0000, 0.0000, 0.5000) [3 per cell]

CuMo2: optimized geometry, GGA-PBE.

Properties
* spin magnetization: 0.000 μB per cell
* DFT formation energy: 287 meV/atom
* crystal system: monoclinic
* E_tot: -24.90 eV per formula unit
* volume: 44.3 Å³/f.u.
* relative energy among the computed polymorphs: 63 meV/atom

a = 10.4986 Å, b = 2.6200 Å, c = 6.6475 Å
α = 90.00°, β = 104.19°, γ = 90.00°
Space group C2/m (No. 12)
Symmetry-distinct sites (fractional):
Cu (0.0331, 0.0000, 0.3184) [4 per cell]
Mo (0.1278, 0.5000, 0.0189) [4 per cell]
Mo (0.1920, 0.5000, 0.6467) [4 per cell]

CuMo3: optimized geometry, GGA-PBE.

Properties
* spin magnetization: 0.000 μB per cell
* DFT formation energy: 367 meV/atom
* crystal system: hexagonal
* E_tot: -35.12 eV per formula unit
* volume: 61.3 Å³/f.u.

a = 2.7353 Å, b = 2.7353 Å, c = 9.4683 Å
α = 90.00°, β = 90.00°, γ = 120.00°
Space group P-6m2 (No. 187)
Symmetry-distinct sites (fractional):
Cu (0.0000, 0.0000, 0.0000) [1 per cell]
Mo (0.0000, 0.0000, 0.5000) [1 per cell]
Mo (0.3333, 0.6667, 0.2398) [2 per cell]

CuMo: optimized geometry, GGA-PBE.

Properties
* spin magnetization: 0.000 μB per cell
* DFT formation energy: 1007 meV/atom
* crystal system: hexagonal
* E_tot: -12.91 eV per formula unit
* volume: 30.9 Å³/f.u.

a = 3.7935 Å, b = 3.7935 Å, c = 4.9640 Å
α = 90.00°, β = 90.00°, γ = 120.00°
Space group P6_3/mmc (No. 194)
Symmetry-distinct sites (fractional):
Cu (0.0000, 0.0000, 0.0000) [2 per cell]
Mo (0.3333, 0.6667, 0.2500) [2 per cell]

N(E_F) readings, ordered: 3.63, 3.72, 1.78, 5.56, 2.06, 1.12, 1.72, 1.49, 7.30, 1.48, 3.19, 2.27, 3.49, 2.16, 7.88, 1.36, 9.07, 2.89, 3.43, 2.05 states/eV/f.u.